*P*
Crystalline AcZnAu2 at its relaxed geometry. Source: Alexandria via LeMat-Bulk, functional GGA-PBE.

Structure (POSCAR):
```
AcZnAu2
1.0
0.0000 3.6490 3.6490
3.6490 0.0000 3.6490
3.6490 3.6490 0.0000
Ac Zn Au
1 1 2
Direct
0.0000 0.0000 0.0000
0.5000 0.5000 0.5000
0.2500 0.2500 0.2500
0.7500 0.7500 0.7500
```



*Q*
Crystalline AcZnAu2 at its relaxed geometry. Source: Alexandria via LeMat-Bulk, functional GGA-PBE.

Structure (POSCAR):
```
AcZnAu2
1.0
2.1458 -9.4956 0.0000
2.1458 9.4956 0.0000
0.0000 0.0000 4.7177
Ac Zn Au
2 2 4
Direct
0.1050 0.8950 0.7500
0.8950 0.1050 0.2500
0.3224 0.6776 0.7500
0.6776 0.3224 0.2500
0.2574 0.7426 0.2500
0.4589 0.5411 0.7500
0.5411 0.4589 0.2500
0.7426 0.2574 0.7500
```



*R*
Crystalline AcZnAu2 at its relaxed geometry. Source: Alexandria via LeMat-Bulk, functional GGA-PBE.

Structure (POSCAR):
```
AcZnAu2
1.0
3.7027 0.0000 0.0000
0.0000 3.7027 0.0000
0.0000 0.0000 6.8810
Ac Zn Au
1 1 2
Direct
0.0000 0.0000 0.0000
0.0000 0.0000 0.5000
0.5000 0.5000 0.2916
0.5000 0.5000 0.7084
```



*S*
Crystalline AcZnAu2 at its relaxed geometry. Source: Alexandria via LeMat-Bulk, functional GGA-PBE.

Structure (POSCAR):
```
AcZnAu2
1.0
8.2420 0.0000 0.0000
0.0000 7.4065 0.0000
0.0000 0.0000 6.0604
Ac Zn Au
4 4 8
Direct
0.0394 0.2500 0.1464
0.4606 0.7500 0.6464
0.5394 0.2500 0.3536
0.9606 0.7500 0.8536
0.1172 0.7500 0.3583
0.3828 0.2500 0.8583
0.6172 0.7500 0.1417
0.8828 0.2500 0.6417
0.1821 0.0555 0.5935
0.1821 0.4445 0.5935
0.3179 0.5555 0.0935
0.3179 0.9445 0.0935
0.6821 0.0555 0.9065
0.6821 0.4445 0.9065
0.8179 0.5555 0.4065
0.8179 0.9445 0.4065
```



Which structure is the least stable? The one labeled *R*.



*P*
Crystalline AcZn2Au6 at its relaxed geometry. Source: Alexandria via LeMat-Bulk, functional GGA-PBE.

Structure (POSCAR):
```
AcZn2Au6
1.0
0.0000 6.0011 6.0011
6.0011 0.0000 6.0011
6.0011 6.0011 0.0000
Ac Zn Au
2 4 12
Direct
0.1250 0.1250 0.1250
0.8750 0.8750 0.8750
0.0000 0.5000 0.5000
0.5000 0.0000 0.5000
0.5000 0.5000 0.0000
0.5000 0.5000 0.5000
0.1315 0.1315 0.6185
0.1315 0.6185 0.1315
0.1315 0.6185 0.6185
0.3815 0.3815 0.8685
0.3815 0.8685 0.3815
0.3815 0.8685 0.8685
0.6185 0.1315 0.1315
0.6185 0.1315 0.6185
0.6185 0.6185 0.1315
0.8685 0.3815 0.3815
0.8685 0.3815 0.8685
0.8685 0.8685 0.3815
```



*Q*
Crystalline AcZn2Au6 at its relaxed geometry. Source: Alexandria via LeMat-Bulk, functional GGA-PBE.

Structure (POSCAR):
```
AcZn2Au6
1.0
5.7741 0.0000 0.0000
-2.8870 5.0005 0.0000
0.0000 0.0000 7.2030
Ac Zn Au
1 2 6
Direct
0.0000 0.0000 0.0000
0.3333 0.6667 0.5000
0.6667 0.3333 0.5000
0.0000 0.5000 0.2116
0.0000 0.5000 0.7884
0.5000 0.0000 0.2116
0.5000 0.0000 0.7884
0.5000 0.5000 0.2116
0.5000 0.5000 0.7884
```



Which structure is the least stable? The one labeled *P*.



*P*
Crystalline AcZnAu at its relaxed geometry. Source: Alexandria via LeMat-Bulk, functional GGA-PBE.

Structure (POSCAR):
```
AcZnAu
1.0
-1.9267 1.9267 5.1664
1.9267 -1.9267 5.1664
1.9267 1.9267 -5.1664
Ac Zn Au
1 1 1
Direct
0.0000 0.0000 0.0000
0.3094 0.3094 0.0000
0.6855 0.6855 0.0000
```



*Q*
Crystalline AcZnAu at its relaxed geometry. Source: Alexandria via LeMat-Bulk, functional GGA-PBE.

Structure (POSCAR):
```
AcZnAu
1.0
0.0000 3.5377 3.5377
3.5377 0.0000 3.5377
3.5377 3.5377 0.0000
Ac Zn Au
1 1 1
Direct
0.0000 0.0000 0.0000
0.5000 0.5000 0.5000
0.2500 0.2500 0.2500
```



Which structure is the least stable? The one labeled *P*.



*P*
Crystalline AcZnAu at its relaxed geometry. Source: Alexandria via LeMat-Bulk, functional GGA-PBE.

Structure (POSCAR):
```
AcZnAu
1.0
0.0000 5.9040 6.5297
4.1913 0.0000 6.5297
4.1913 5.9040 0.0000
Ac Zn Au
4 4 4
Direct
0.0000 0.0000 0.0000
0.0000 0.0000 0.5000
0.0000 0.5000 0.0000
0.5000 0.0000 0.0000
0.2479 0.5021 0.2479
0.4979 0.7521 0.4979
0.5021 0.2479 0.5021
0.7521 0.4979 0.7521
0.2042 0.2042 0.5458
0.4542 0.4542 0.7958
0.5458 0.5458 0.2042
0.7958 0.7958 0.4542
```



*Q*
Crystalline AcZnAu at its relaxed geometry. Source: Alexandria via LeMat-Bulk, functional GGA-PBE.

Structure (POSCAR):
```
AcZnAu
1.0
4.6928 0.0000 0.0000
-2.3464 4.0641 0.0000
0.0000 0.0000 4.0697
Ac Zn Au
1 1 1
Direct
0.0000 0.0000 0.0000
0.3333 0.6667 0.5000
0.6667 0.3333 0.5000
```



Which structure is the least stable? The one labeled *P*.



*P*
Crystalline AcZnAu4 at its relaxed geometry. Source: Alexandria via LeMat-Bulk, functional GGA-PBE.

Structure (POSCAR):
```
AcZnAu4
1.0
4.7356 0.0000 0.0000
0.0000 4.7356 0.0000
0.0000 0.0000 7.4558
Ac Zn Au
1 1 4
Direct
0.0000 0.0000 0.0000
0.5000 0.5000 0.5000
0.0000 0.5000 0.5000
0.5000 0.0000 0.5000
0.5000 0.5000 0.1742
0.5000 0.5000 0.8258
```



*Q*
Crystalline AcZnAu4 at its relaxed geometry. Source: Alexandria via LeMat-Bulk, functional GGA-PBE.

Structure (POSCAR):
```
AcZnAu4
1.0
0.0000 4.0315 4.0315
4.0315 0.0000 4.0315
4.0315 4.0315 0.0000
Ac Zn Au
1 1 4
Direct
0.0000 0.0000 0.0000
0.7500 0.7500 0.7500
0.3760 0.3760 0.3760
0.3760 0.3760 0.8721
0.3760 0.8721 0.3760
0.8721 0.3760 0.3760
```



Which structure is the least stable? The one labeled *P*.



*P*
Crystalline AcZn3Au2 at its relaxed geometry. Source: Alexandria via LeMat-Bulk, functional GGA-PBE.

Structure (POSCAR):
```
AcZn3Au2
1.0
10.0789 0.0000 0.0000
-5.0395 8.7286 0.0000
0.0000 0.0000 4.2926
Ac Zn Au
3 9 6
Direct
0.0000 0.0000 0.0000
0.3333 0.6667 0.5000
0.6667 0.3333 0.5000
0.0000 0.3021 0.5000
0.0000 0.5000 0.0000
0.0000 0.6979 0.5000
0.3021 0.0000 0.5000
0.3021 0.3021 0.5000
0.5000 0.0000 0.0000
0.5000 0.5000 0.0000
0.6979 0.0000 0.5000
0.6979 0.6979 0.5000
0.1910 0.3820 0.0000
0.1910 0.8090 0.0000
0.3820 0.1910 0.0000
0.6180 0.8090 0.0000
0.8090 0.1910 0.0000
0.8090 0.6180 0.0000
```



*Q*
Crystalline AcZn3Au2 at its relaxed geometry. Source: Alexandria via LeMat-Bulk, functional GGA-PBE.

Structure (POSCAR):
```
AcZn3Au2
1.0
8.3501 -2.1710 0.0000
8.3501 2.1710 0.0000
-3.4210 0.0000 7.0695
Ac Zn Au
2 6 4
Direct
0.1436 0.1436 0.0601
0.8564 0.8564 0.9399
0.0405 0.0405 0.3911
0.3110 0.3110 0.5393
0.4054 0.4054 0.3373
0.5946 0.5946 0.6627
0.6890 0.6890 0.4607
0.9595 0.9595 0.6089
0.1992 0.1992 0.6993
0.4781 0.4781 0.8078
0.5219 0.5219 0.1922
0.8008 0.8008 0.3007
```



Which structure is the least stable? The one labeled *P*.



*P*
Crystalline AcZn4Au at its relaxed geometry. Source: Alexandria via LeMat-Bulk, functional GGA-PBE.

Structure (POSCAR):
```
AcZn4Au
1.0
2.2873 -8.0167 0.0000
2.2873 8.0167 0.0000
0.0000 0.0000 6.8533
Ac Zn Au
2 8 2
Direct
0.1294 0.8706 0.7500
0.8706 0.1294 0.2500
0.0670 0.9330 0.2500
0.3336 0.6664 0.5651
0.3336 0.6664 0.9349
0.5000 0.5000 0.0000
0.5000 0.5000 0.5000
0.6664 0.3336 0.0651
0.6664 0.3336 0.4349
0.9330 0.0670 0.7500
0.2280 0.7720 0.2500
0.7720 0.2280 0.7500
```



*Q*
Crystalline AcZn4Au at its relaxed geometry. Source: Alexandria via LeMat-Bulk, functional GGA-PBE.

Structure (POSCAR):
```
AcZn4Au
1.0
0.0000 3.9365 3.9365
3.9365 0.0000 3.9365
3.9365 3.9365 0.0000
Ac Zn Au
1 4 1
Direct
0.0000 0.0000 0.0000
0.1338 0.6221 0.6221
0.6221 0.1338 0.6221
0.6221 0.6221 0.1338
0.6221 0.6221 0.6221
0.2500 0.2500 0.2500
```



Which structure is the least stable? The one labeled *Q*.



*P*
Crystalline AcZn9Au2 at its relaxed geometry. Source: Alexandria via LeMat-Bulk, functional GGA-PBE.

Structure (POSCAR):
```
AcZn9Au2
1.0
-5.4778 5.4778 3.5003
5.4778 -5.4778 3.5003
5.4778 5.4778 -3.5003
Ac Zn Au
2 18 4
Direct
0.3750 0.6250 0.7500
0.6250 0.3750 0.2500
0.1250 0.8750 0.2500
0.1354 0.5541 0.3353
0.1354 0.8001 0.5813
0.1999 0.2812 0.3353
0.1999 0.8646 0.9187
0.2812 0.1999 0.8353
0.2812 0.4459 0.0813
0.4459 0.2812 0.5813
0.4459 0.8646 0.1647
0.5541 0.1354 0.8353
0.5541 0.7188 0.4187
0.7188 0.5541 0.9187
0.7188 0.8001 0.1647
0.8001 0.1354 0.0813
0.8001 0.7188 0.6647
0.8646 0.1999 0.4187
0.8646 0.4459 0.6647
0.8750 0.1250 0.7500
0.0000 0.0000 0.0000
0.0000 0.0000 0.5000
0.0000 0.5000 0.0000
0.5000 0.0000 0.5000
```



*Q*
Crystalline AcZn9Au2 at its relaxed geometry. Source: Alexandria via LeMat-Bulk, functional GGA-PBE.

Structure (POSCAR):
```
AcZn9Au2
1.0
8.5728 0.0000 0.0000
-4.2864 7.4242 0.0000
0.0000 0.0000 3.6075
Ac Zn Au
1 9 2
Direct
0.0000 0.0000 0.0000
0.0000 0.5000 0.0000
0.1906 0.3812 0.5000
0.1906 0.8094 0.5000
0.3812 0.1906 0.5000
0.5000 0.0000 0.0000
0.5000 0.5000 0.0000
0.6188 0.8094 0.5000
0.8094 0.1906 0.5000
0.8094 0.6188 0.5000
0.3333 0.6667 0.0000
0.6667 0.3333 0.0000
```



Which structure is the least stable? The one labeled *Q*.



*P*
Crystalline Ac3Zn2Au at its relaxed geometry. Source: Alexandria via LeMat-Bulk, functional GGA-PBE.

Structure (POSCAR):
```
Ac3Zn2Au
1.0
5.5259 0.0000 0.0000
-2.7629 4.7856 0.0000
0.0000 0.0000 6.8086
Ac Zn Au
3 2 1
Direct
0.0000 0.0000 0.0000
0.3333 0.6667 0.6605
0.6667 0.3333 0.3395
0.3333 0.6667 0.1515
0.6667 0.3333 0.8485
0.0000 0.0000 0.5000
```



*Q*
Crystalline Ac3Zn2Au at its relaxed geometry. Source: Alexandria via LeMat-Bulk, functional GGA-PBE.

Structure (POSCAR):
```
Ac3Zn2Au
1.0
3.9267 0.0000 0.0000
0.0000 3.9267 0.0000
0.0000 0.0000 11.6587
Ac Zn Au
3 2 1
Direct
0.0000 0.0000 0.0000
0.0000 0.0000 0.3345
0.0000 0.0000 0.6655
0.5000 0.5000 0.1616
0.5000 0.5000 0.8384
0.5000 0.5000 0.5000
```



Which structure is the least stable? The one labeled *P*.



*P*
Crystalline AcZn3Au at its relaxed geometry. Source: Alexandria via LeMat-Bulk, functional GGA-PBE.

Structure (POSCAR):
```
AcZn3Au
1.0
4.9334 0.0000 0.0000
0.0000 4.9334 0.0000
0.0000 0.0000 4.9334
Ac Zn Au
1 3 1
Direct
0.0000 0.0000 0.0000
0.0000 0.5000 0.5000
0.5000 0.0000 0.5000
0.5000 0.5000 0.0000
0.5000 0.5000 0.5000
```



*Q*
Crystalline AcZn3Au at its relaxed geometry. Source: Alexandria via LeMat-Bulk, functional GGA-PBE.

Structure (POSCAR):
```
AcZn3Au
1.0
4.4169 0.0000 0.0000
-0.0603 4.4350 0.0000
-2.1648 -2.2294 5.5365
Ac Zn Au
1 3 1
Direct
0.0000 0.0000 0.0000
0.2453 0.7458 0.4924
0.6238 0.6244 0.2480
0.7460 0.2465 0.4914
0.3843 0.3847 0.7692
```



Which structure is the least stable? The one labeled *P*.